Entry 1:
Crystalline Cu3ReP at its relaxed geometry, computed with PBE.

a = 4.6317 Å, b = 4.6317 Å, c = 4.6317 Å
α = 90.00°, β = 90.00°, γ = 90.00°
Space group Pm-3m (No. 221)
One atom of each set of equivalent atoms:
Cu: 0.0000 0.0000 0.5000 [3 per cell]
Re: 0.0000 0.0000 0.0000 [1 per cell]
P: 0.5000 0.5000 0.5000 [1 per cell]

Properties
Its crystal system is cubic. As for the formation energy: 1.792 eV/atom. The energy relative to the lowest polymorph listed for this composition comes out at 777 meV/atom. Its total magnetization is 0.000 μB per formula unit.



Entry 2:
Crystalline Ce2HgIr at its relaxed geometry, computed with PBE.

a = 4.1310 Å, b = 4.1310 Å, c = 7.6653 Å
α = 90.00°, β = 90.00°, γ = 120.00°
Space group P-3m1 (No. 164)
One atom of each set of equivalent atoms:
Ce: 0.3333 0.6667 0.3030 [2 per cell]
Hg: 0.0000 0.0000 0.0000 [1 per cell]
Ir: 0.0000 0.0000 0.5000 [1 per cell]

Properties
Its crystal system is trigonal. As for the formation energy: -0.507 eV/atom. The energy relative to the lowest polymorph listed for this composition comes out at 21 meV/atom. Its total magnetization is 1.345 μB per formula unit.



Entry 3:
Crystalline Ti2CdSi at its relaxed geometry, computed with PBE.

a = 7.2478 Å, b = 7.2478 Å, c = 5.5470 Å
α = 90.00°, β = 90.00°, γ = 90.00°
Space group I-42d (No. 122)
One atom of each set of equivalent atoms:
Ti: 0.2257 0.7500 0.1250 [8 per cell]
Cd: 0.0000 0.0000 0.5000 [4 per cell]
Si: 0.0000 0.0000 0.0000 [4 per cell]

Properties
Its crystal system is tetragonal. The calculation puts the uncorrected formation energy at 0.104 eV/atom. Its total magnetization is 0.000 μB per formula unit.



| no. | Fermi-level density of states (states/eV/cell) |
| --- | --- |
| 1 | 4.3 |
| 2 | 11.6 |
| 3 | 18.8 |